Here is a relaxed BeAuNO crystal from OQMD. Energies are from PBE.

Results
- ρ (kg/m3) = 8855
- polymorph energy (0 for the lowest one) (meV per atom) = 454

Cell lengths 3.7239, 3.7239, 6.3820 Å; angles 90.00, 90.00, 90.00 degrees
Last column: nearest neighbours and their distance in Å.
Fractional coordinates of all 8 atoms:
Au  0.2500  0.7500  0.5000  4 N 2.24
Au  0.7500  0.2500  0.5000  4 N 2.24
N  0.2500  0.2500  0.6945  1 Be 1.70
N  0.7500  0.7500  0.3055  1 Be 1.70
Be  0.7500  0.7500  0.0392  1 N 1.70, 4 O 1.88
Be  0.2500  0.2500  0.9608  1 N 1.70, 4 O 1.88
O  0.7500  0.2500  0.0000  4 Be 1.88
O  0.2500  0.7500  0.0000  4 Be 1.88